Record 1
Below is LaSe2Cl after structural relaxation, with properties calculated at the PBE-GGA level.

a b c (Å): 7.271 7.271 7.271
angles (deg): 37.26 37.26 37.26
Fractional coordinates of all 4 atoms:
Cl: 0.476 0.476 0.476
La: 0.731 0.731 0.731
Se: 0.985 0.985 0.985
Se: 0.308 0.308 0.308

Summary:
* raw formation energy: -1258 meV/atom
* crystal system: trigonal
* symmetry: R3m, No. 160
* relative energy among the computed polymorphs: 1.06 eV/f.u.
* magnetic moment: 0.000 μB per cell

---

Record 2
Below is Ho7MnI12 after structural relaxation, with properties calculated at the PBE-GGA level.

a b c (Å): 10.834 9.741 9.741
angles (deg): 107.09 111.76 111.76
Last column: magnetic moment on the atom in μB.
Fractional coordinates of all 20 atoms:
Ho: 0.092 0.804 0.070  0.24
Ho: 0.978 0.070 0.266  0.24
Ho: 0.712 0.734 0.804  0.24
Ho: 0.500 0.000 0.000  -0.01
Ho: 0.288 0.266 0.196  0.24
Ho: 0.022 0.930 0.734  0.24
Ho: 0.908 0.196 0.930  0.24
Mn: 0.000 0.000 0.000  -0.09
I: 0.224 0.543 0.152  0.01
I: 0.928 0.152 0.609  0.01
I: 0.615 0.775 0.077  0.01
I: 0.462 0.077 0.302  0.01
I: 0.318 0.391 0.543  0.01
I: 0.161 0.698 0.775  0.01
I: 0.839 0.302 0.225  0.01
I: 0.682 0.609 0.457  0.01
I: 0.538 0.923 0.698  0.01
I: 0.385 0.225 0.923  0.01
I: 0.072 0.848 0.391  0.01
I: 0.776 0.457 0.848  0.01

Summary:
* raw formation energy: -1112 meV/atom
* crystal system: trigonal
* symmetry: R-3, No. 148
* magnetic moment: 2.085 μB per cell

---

Record 3
Below is AlInFe after structural relaxation, with properties calculated at the PBE-GGA level.

a b c (Å): 2.965 2.966 22.836
angles (deg): 90.00 97.48 90.00
Last column: magnetic moment on the atom in μB.
Fractional coordinates of all 12 atoms:
Al: 0.874 0.000 0.558  0.00
Al: 0.874 0.500 0.058  0.00
Al: 0.992 0.000 0.677  -0.03
Al: 0.992 0.500 0.177  -0.03
Fe: 0.431 0.000 0.116  0.18
Fe: 0.431 0.500 0.616  0.18
Fe: 0.557 0.000 0.242  2.09
Fe: 0.557 0.500 0.742  2.09
In: 0.273 0.000 0.955  0.01
In: 0.273 0.500 0.455  0.01
In: 0.138 0.000 0.823  -0.03
In: 0.138 0.500 0.323  -0.03

Summary:
* crystal system: monoclinic
* symmetry: Cm, No. 8
* energy relative to the elements: -0.047 eV/atom
* magnetic moment: 4.349 μB per cell

---

Record 4
Below is CsLaIr3 after structural relaxation, with properties calculated at the PBE-GGA level.

a b c (Å): 5.194 5.194 5.194
angles (deg): 90.00 90.00 90.00
Last column: magnetic moment on the atom in μB.
Fractional coordinates of all 5 atoms:
Cs: 0.500 0.500 0.500  -0.01
Ir: 0.000 0.500 0.000  0.39
Ir: 0.000 0.000 0.500  0.33
Ir: 0.500 0.000 0.000  0.32
La: 0.000 0.000 0.000  -0.05

Summary:
* crystal system: cubic
* symmetry: Pm-3m, No. 221
* relative energy among the computed polymorphs: 0.00 eV/f.u.
* energy relative to the elements: 1.574 eV/atom
* magnetic moment: 0.931 μB per cell

---

Record 5
Below is Pm5SmS6 after structural relaxation, with properties calculated at the PBE-GGA level.

a b c (Å): 6.970 6.975 6.991
angles (deg): 60.08 80.34 70.33
Fractional coordinates of all 12 atoms:
S: 0.751 0.083 0.332
S: 0.249 0.585 0.332
S: 0.249 0.249 0.000
S: 0.751 0.751 0.000
S: 0.751 0.415 0.668
S: 0.249 0.917 0.668
Sm: 0.000 0.000 0.000
Pm: 0.500 0.167 0.665
Pm: 0.000 0.333 0.334
Pm: 0.500 0.500 0.000
Pm: 0.000 0.667 0.666
Pm: 0.500 0.833 0.335

Summary:
* raw formation energy: -2036 meV/atom
* crystal system: monoclinic
* symmetry: C2/m, No. 12
* magnetic moment: 0.000 μB per cell

---

Record 6
Below is Ba6NiBr after structural relaxation, with properties calculated at the PBE-GGA level.

a b c (Å): 8.003 8.003 15.221
angles (deg): 90.00 90.00 120.00
Fractional coordinates of all 16 atoms:
Ba: 0.324 0.314 0.383
Ba: 0.676 0.686 0.617
Ba: 0.991 0.676 0.383
Ba: 0.324 0.009 0.117
Ba: 0.009 0.324 0.617
Ba: 0.676 0.991 0.883
Ba: 0.686 0.009 0.383
Ba: 0.991 0.314 0.117
Ba: 0.314 0.991 0.617
Ba: 0.009 0.686 0.883
Ba: 0.686 0.676 0.117
Ba: 0.314 0.324 0.883
Ni: 0.000 0.000 0.500
Ni: 0.000 0.000 0.000
Br: 0.333 0.667 0.250
Br: 0.667 0.333 0.750

Summary:
* raw formation energy: -377 meV/atom
* crystal system: trigonal
* symmetry: P-31c, No. 163
* magnetic moment: 0.005 μB per cell

---

Record 7
Below is Li2TeMo after structural relaxation, with properties calculated at the PBE-GGA level.

a b c (Å): 5.370 5.370 2.904
angles (deg): 90.00 90.00 119.92
Fractional coordinates of all 4 atoms:
Li: 0.000 0.000 0.000
Li: 0.500 0.500 0.000
Mo: 0.500 0.000 0.500
Te: 0.000 0.500 0.500

Summary:
* raw formation energy: 243 meV/atom
* crystal system: orthorhombic
* symmetry: Cmmm, No. 65
* magnetic moment: 0.000 μB per cell

---

Record 8
Below is BaYMg after structural relaxation, with properties calculated at the PBE-GGA level.

a b c (Å): 5.693 5.693 7.895
angles (deg): 90.00 90.00 90.00
Last column: magnetic moment on the atom in μB.
Fractional coordinates of all 6 atoms:
Ba: 0.500 0.500 0.500  0.02
Ba: 0.000 0.000 0.500  0.02
Y: 0.500 0.500 0.000  0.14
Y: 0.000 0.000 0.000  0.14
Mg: 0.500 0.000 0.794  0.01
Mg: 0.000 0.500 0.206  0.01

Summary:
* crystal system: tetragonal
* symmetry: P4/nmm, No. 129
* relative energy among the computed polymorphs: 0.87 eV/f.u.
* energy relative to the elements: 0.358 eV/atom
* magnetic moment: 0.886 μB per cell

---

Look up the magnetic moment of the third one. 4.349 μB per cell